Density functional theory data (GGA-PBE) for a geometry-optimized Cu2AgO3 structure.

Unit cell a=6.078 b=6.078 c=6.078 alpha=57.38 beta=57.38 gamma=57.38
Element x y z (fractional)
1 Cu 0.000 0.000 0.000
2 Cu 0.000 0.500 0.500
3 Cu 0.500 0.000 0.500
4 Cu 0.500 0.500 0.000
5 Ag 0.183 0.183 0.183
6 Ag 0.817 0.817 0.817
7 O 0.237 0.237 0.717
8 O 0.237 0.717 0.237
9 O 0.283 0.763 0.763
10 O 0.717 0.237 0.237
11 O 0.763 0.283 0.763
12 O 0.763 0.763 0.283

Calculated values
As for the space group: No. 166.

---

Density functional theory data (GGA-PBE) for a geometry-optimized Cu5Ag3O12 structure.

Unit cell a=10.512 b=10.512 c=10.512 alpha=109.47 beta=109.47 gamma=109.47
Element x y z (fractional)
1 Cu 0.000 0.000 0.000
2 Cu 0.000 0.000 0.500
3 Cu 0.000 0.500 0.000
4 Cu 0.000 0.500 0.500
5 Cu 0.125 0.750 0.875
6 Cu 0.125 0.875 0.250
7 Cu 0.250 0.125 0.875
8 Cu 0.250 0.625 0.375
9 Cu 0.375 0.250 0.625
10 Cu 0.375 0.625 0.750
11 Cu 0.500 0.000 0.000
12 Cu 0.500 0.000 0.500
13 Cu 0.500 0.500 0.000
14 Cu 0.500 0.500 0.500
15 Cu 0.625 0.375 0.250
16 Cu 0.625 0.750 0.375
17 Cu 0.750 0.375 0.625
18 Cu 0.750 0.875 0.125
19 Cu 0.875 0.125 0.750
20 Cu 0.875 0.250 0.125
21 Ag 0.125 0.250 0.375
22 Ag 0.125 0.375 0.750
23 Ag 0.250 0.375 0.125
24 Ag 0.250 0.875 0.625
25 Ag 0.375 0.125 0.250
26 Ag 0.375 0.750 0.125
27 Ag 0.625 0.250 0.875
28 Ag 0.625 0.875 0.750
29 Ag 0.750 0.125 0.375
30 Ag 0.750 0.625 0.875
31 Ag 0.875 0.625 0.250
32 Ag 0.875 0.750 0.625
33 O 0.030 0.206 0.112
34 O 0.030 0.324 0.918
35 O 0.082 0.612 0.406
36 O 0.082 0.970 0.676
37 O 0.094 0.706 0.676
38 O 0.094 0.888 0.418
39 O 0.112 0.030 0.206
40 O 0.112 0.582 0.906
41 O 0.176 0.206 0.594
42 O 0.176 0.470 0.582
43 O 0.206 0.112 0.030
44 O 0.206 0.594 0.176
45 O 0.294 0.324 0.906
46 O 0.294 0.470 0.388
47 O 0.324 0.906 0.294
48 O 0.324 0.918 0.030
49 O 0.388 0.294 0.470
50 O 0.388 0.594 0.918
51 O 0.406 0.082 0.612
52 O 0.406 0.824 0.794
53 O 0.418 0.094 0.888
54 O 0.418 0.824 0.530
55 O 0.470 0.388 0.294
56 O 0.470 0.582 0.176
57 O 0.530 0.418 0.824
58 O 0.530 0.612 0.706
59 O 0.582 0.176 0.470
60 O 0.582 0.906 0.112
61 O 0.594 0.176 0.206
62 O 0.594 0.918 0.388
63 O 0.612 0.406 0.082
64 O 0.612 0.706 0.530
65 O 0.676 0.082 0.970
66 O 0.676 0.094 0.706
67 O 0.706 0.530 0.612
68 O 0.706 0.676 0.094
69 O 0.794 0.406 0.824
70 O 0.794 0.888 0.970
71 O 0.824 0.530 0.418
72 O 0.824 0.794 0.406
73 O 0.888 0.418 0.094
74 O 0.888 0.970 0.794
75 O 0.906 0.112 0.582
76 O 0.906 0.294 0.324
77 O 0.918 0.030 0.324
78 O 0.918 0.388 0.594
79 O 0.970 0.676 0.082
80 O 0.970 0.794 0.888

Calculated values
As for the space group: No. 230.

---

Density functional theory data (GGA-PBE) for a geometry-optimized Cu2AgO structure.

Unit cell a=6.434 b=6.434 c=6.434 alpha=134.46 beta=134.46 gamma=66.37
Element x y z (fractional)
1 Cu 0.375 0.169 0.294
2 Cu 0.831 0.125 0.206
3 Cu 0.875 0.081 0.706
4 Cu 0.919 0.625 0.794
5 Ag 0.250 0.750 0.500
6 Ag 0.500 0.500 0.000
7 O 0.000 0.000 0.000
8 O 0.750 0.250 0.500

Calculated values
As for the space group: No. 122.

---

Density functional theory data (GGA-PBE) for a geometry-optimized CuAg5O3 structure.

Unit cell a=6.419 b=6.419 c=7.564 alpha=106.72 beta=106.72 gamma=72.89
Element x y z (fractional)
1 Cu 0.034 0.034 0.266
2 Cu 0.966 0.966 0.734
3 Ag 0.074 0.610 0.365
4 Ag 0.270 0.270 0.067
5 Ag 0.301 0.699 0.000
6 Ag 0.390 0.926 0.635
7 Ag 0.448 0.448 0.646
8 Ag 0.552 0.552 0.354
9 Ag 0.610 0.074 0.365
10 Ag 0.699 0.301 0.000
11 Ag 0.730 0.730 0.933
12 Ag 0.926 0.390 0.635
13 O 0.000 0.000 0.000
14 O 0.000 0.000 0.500
15 O 0.237 0.237 0.336
16 O 0.301 0.301 0.805
17 O 0.699 0.699 0.195
18 O 0.763 0.763 0.664

Calculated values
As for the space group: No. 12.

---

no.,DOS(E_F) (states/eV/cell),energy (eV per atom)
1,4.91,-4.58
2,77.38,-4.46
3,2.03,-4.03
4,4.29,-3.75